Material: FeAg2Mo
Method: DFT, GGA-PBEsol
State: relaxed

Symmetry   Fm-3m
Relative energy among the computed polymorphs   23.09 kJ/mol of atoms
Magnetization   0.499 μB/atom
DFT formation energy   0.802 eV per atom

a = 4.415 Å, b = 4.415 Å, c = 4.415 Å
α = 60.00°, β = 60.00°, γ = 60.00°
Positions (direct):
Fe 0.000 0.000 0.000
Ag 0.250 0.250 0.250
Ag 0.750 0.750 0.750
Mo 0.500 0.500 0.500